Version one
{
  "formula": "Y2Sn2Bi",
  "functional": "PBE-GGA",
  "state": "optimized geometry",
  "lattice": [[-7.8287, 2.0767, -1.1105], [0.0407, -3.7352, -7.2720], [-1.2842, -3.8008, 1.9451]],
  "species": ["Y", "Y", "Y", "Y", "Bi", "Bi", "Sn", "Sn", "Sn", "Sn"],
  "fractional_positions": [[0.3289, 0.8289, 0.0000], [0.8289, 0.6711, 0.0000], [0.6711, 0.1711, 0.0000], [0.1711, 0.3289, 0.0000], [0.0000, 0.0000, 0.0000], [0.5000, 0.5000, 0.0000], [0.1275, 0.6275, 0.5000], [0.6275, 0.8725, 0.5000], [0.8725, 0.3725, 0.5000], [0.3725, 0.1275, 0.5000]],
  "spacegroup": "P4/mbm (127)"
}



Version two
{
  "formula": "Y2Sn2Bi",
  "functional": "PBE-GGA",
  "state": "optimized geometry",
  "lattice": [[-5.1933, -0.6668, -1.2578], [-0.0779, -4.6174, 2.7696], [-4.1341, 0.1929, 5.4400]],
  "species": ["Y", "Y", "Bi", "Sn", "Sn"],
  "fractional_positions": [[0.7500, 0.2500, 0.5000], [0.2500, 0.7500, 0.5000], [0.0000, 0.0000, 0.0000], [0.3792, 0.3792, 0.2415], [0.6208, 0.6208, 0.7585]],
  "spacegroup": "I4/mmm (139)"
}



Quick one: most stable of them? version one



Version one
{
  "formula": "Y2Sn2Bi",
  "functional": "PBE-GGA",
  "state": "optimized geometry",
  "lattice": [[-3.2003, 0.6382, 2.5900], [1.5422, -2.8580, 2.6098], [3.5869, 4.9027, 6.5749]],
  "species": ["Y", "Y", "Bi", "Sn", "Sn"],
  "fractional_positions": [[0.3973, 0.3973, 0.2054], [0.6027, 0.6027, 0.7946], [0.0000, 0.0000, 0.0000], [0.7500, 0.2500, 0.5000], [0.2500, 0.7500, 0.5000]],
  "spacegroup": "I4/mmm (139)"
}



Version two
{
  "formula": "Y2Sn2Bi",
  "functional": "PBE-GGA",
  "state": "optimized geometry",
  "lattice": [[-7.1797, 3.3056, 1.8934], [-0.3243, -4.5554, 6.7233], [2.0278, 3.1326, 2.2204]],
  "species": ["Y", "Y", "Y", "Y", "Bi", "Bi", "Sn", "Sn", "Sn", "Sn"],
  "fractional_positions": [[0.1726, 0.6726, 0.5000], [0.6726, 0.8274, 0.5000], [0.8274, 0.3274, 0.5000], [0.3274, 0.1726, 0.5000], [0.0000, 0.0000, 0.0000], [0.5000, 0.5000, 0.0000], [0.3721, 0.8721, 0.0000], [0.8721, 0.6279, 0.0000], [0.6279, 0.1279, 0.0000], [0.1279, 0.3721, 0.0000]],
  "spacegroup": "P4/mbm (127)"
}



Quick one: most stable of them? version two



Version one
{
  "formula": "YSn2Bi2",
  "functional": "PBE-GGA",
  "state": "optimized geometry",
  "lattice": [[-1.2526, -7.3993, 3.3674], [4.4571, 2.2243, 6.5456], [-3.7900, 1.5728, 2.0462]],
  "species": ["Y", "Y", "Bi", "Bi", "Bi", "Bi", "Sn", "Sn", "Sn", "Sn"],
  "fractional_positions": [[0.0000, 0.0000, 0.0000], [0.5000, 0.5000, 0.0000], [0.3585, 0.8585, 0.0000], [0.8585, 0.6415, 0.0000], [0.6415, 0.1415, 0.0000], [0.1415, 0.3585, 0.0000], [0.1703, 0.6703, 0.5000], [0.6703, 0.8297, 0.5000], [0.8297, 0.3297, 0.5000], [0.3297, 0.1703, 0.5000]],
  "spacegroup": "P4/mbm (127)"
}



Version two
{
  "formula": "YSn2Bi2",
  "functional": "PBE-GGA",
  "state": "optimized geometry",
  "lattice": [[4.2508, 0.0000, 0.0000], [0.0000, 4.2508, 0.0000], [2.1254, 2.1254, 8.7699]],
  "species": ["Y", "Bi", "Bi", "Sn", "Sn"],
  "fractional_positions": [[0.0000, 0.0000, 0.0000], [0.4093, 0.4093, 0.1815], [0.5907, 0.5907, 0.8185], [0.7500, 0.2500, 0.5000], [0.2500, 0.7500, 0.5000]],
  "spacegroup": "I4/mmm (139)"
}



Quick one: most stable of them? version two



Version one
{
  "formula": "Y3SnBi",
  "functional": "PBE-GGA",
  "state": "optimized geometry",
  "lattice": [[-1.9994, -5.2888, -0.3485], [5.1398, -1.8437, -1.5077], [1.2942, -0.8483, 5.4493]],
  "species": ["Y", "Y", "Y", "Bi", "Sn"],
  "fractional_positions": [[0.0000, 0.5000, 0.0000], [0.0000, 0.0000, 0.5000], [0.5000, 0.0000, 0.0000], [0.5000, 0.5000, 0.5000], [0.0000, 0.0000, 0.0000]],
  "spacegroup": "Pm-3m (221)"
}



Version two
{
  "formula": "Y3SnBi",
  "functional": "PBE-GGA",
  "state": "optimized geometry",
  "lattice": [[-0.1990, -3.2491, 2.8505], [-3.5296, -5.2614, -6.2435], [8.0853, -2.3585, -2.1238]],
  "species": ["Y", "Y", "Y", "Y", "Y", "Y", "Sn", "Sn", "Bi", "Bi"],
  "fractional_positions": [[0.7500, 0.6246, 0.3547], [0.2500, 0.3754, 0.6453], [0.7500, 0.3487, 0.9868], [0.2500, 0.8978, 0.6483], [0.2500, 0.6513, 0.0132], [0.7500, 0.1022, 0.3517], [0.2500, 0.8624, 0.2962], [0.7500, 0.1376, 0.7038], [0.2500, 0.3619, 0.2630], [0.7500, 0.6381, 0.7370]],
  "spacegroup": "P2_1/m (11)"
}



Quick one: most stable of them? version two



Version one
{
  "formula": "Y2SnBi2",
  "functional": "PBE-GGA",
  "state": "optimized geometry",
  "lattice": [[-2.7525, -7.8208, 0.8148], [7.8589, -2.7646, 0.0125], [0.1343, 0.4012, 4.3047]],
  "species": ["Y", "Y", "Y", "Y", "Bi", "Bi", "Bi", "Bi", "Sn", "Sn"],
  "fractional_positions": [[0.3464, 0.8464, 0.0000], [0.8464, 0.6536, 0.0000], [0.6536, 0.1536, 0.0000], [0.1536, 0.3464, 0.0000], [0.1570, 0.6570, 0.5000], [0.6570, 0.8430, 0.5000], [0.8430, 0.3430, 0.5000], [0.3430, 0.1570, 0.5000], [0.0000, 0.0000, 0.0000], [0.5000, 0.5000, 0.0000]],
  "spacegroup": "P4/mbm (127)"
}



Version two
{
  "formula": "Y2SnBi2",
  "functional": "PBE-GGA",
  "state": "optimized geometry",
  "lattice": [[-8.4113, -1.3685, -0.5042], [0.6720, -1.0176, -8.4493], [0.6323, -4.0863, 0.5424]],
  "species": ["Y", "Y", "Y", "Y", "Bi", "Bi", "Bi", "Bi", "Sn", "Sn"],
  "fractional_positions": [[0.1533, 0.6533, 0.5000], [0.6533, 0.8467, 0.5000], [0.8467, 0.3467, 0.5000], [0.3467, 0.1533, 0.5000], [0.3511, 0.8511, 0.0000], [0.8511, 0.6489, 0.0000], [0.6489, 0.1489, 0.0000], [0.1489, 0.3511, 0.0000], [0.0000, 0.0000, 0.0000], [0.5000, 0.5000, 0.0000]],
  "spacegroup": "P4/mbm (127)"
}



Quick one: most stable of them? version one



Version one
{
  "formula": "Zn2SnBi2",
  "functional": "PBE-GGA",
  "state": "optimized geometry",
  "lattice": [[4.7557, 0.0000, 0.0000], [0.0000, 4.7557, 0.0000], [2.3779, 2.3779, 5.9963]],
  "species": ["Zn", "Zn", "Bi", "Bi", "Sn"],
  "fractional_positions": [[0.4005, 0.4005, 0.1990], [0.5995, 0.5995, 0.8010], [0.7500, 0.2500, 0.5000], [0.2500, 0.7500, 0.5000], [0.0000, 0.0000, 0.0000]],
  "spacegroup": "I4/mmm (139)"
}



Version two
{
  "formula": "Zn2SnBi2",
  "functional": "PBE-GGA",
  "state": "optimized geometry",
  "lattice": [[-3.7008, -2.9385, 6.7935], [-5.9700, -3.3050, -4.6818], [1.9456, -3.1101, -0.2854]],
  "species": ["Zn", "Zn", "Zn", "Zn", "Bi", "Bi", "Bi", "Bi", "Sn", "Sn"],
  "fractional_positions": [[0.3880, 0.8880, 0.0000], [0.8880, 0.6120, 0.0000], [0.6120, 0.1120, 0.0000], [0.1120, 0.3880, 0.0000], [0.1875, 0.6875, 0.5000], [0.6875, 0.8125, 0.5000], [0.8125, 0.3125, 0.5000], [0.3125, 0.1875, 0.5000], [0.0000, 0.0000, 0.0000], [0.5000, 0.5000, 0.0000]],
  "spacegroup": "P4/mbm (127)"
}



Quick one: most stable of them? version two



Version one
{
  "formula": "Zn2SnBi2",
  "functional": "PBE-GGA",
  "state": "optimized geometry",
  "lattice": [[8.8073, 0.0000, 0.0000], [0.0000, 8.8073, 0.0000], [0.0000, 0.0000, 3.3783]],
  "species": ["Zn", "Zn", "Zn", "Zn", "Bi", "Bi", "Bi", "Bi", "Sn", "Sn"],
  "fractional_positions": [[0.1074, 0.6074, 0.5000], [0.6074, 0.8926, 0.5000], [0.8926, 0.3926, 0.5000], [0.3926, 0.1074, 0.5000], [0.3114, 0.8114, 0.0000], [0.8114, 0.6886, 0.0000], [0.6886, 0.1886, 0.0000], [0.1886, 0.3114, 0.0000], [0.0000, 0.0000, 0.0000], [0.5000, 0.5000, 0.0000]],
  "spacegroup": "P4/mbm (127)"
}



Version two
{
  "formula": "Zn2SnBi2",
  "functional": "PBE-GGA",
  "state": "optimized geometry",
  "lattice": [[4.0754, 0.0000, 0.0000], [0.0000, 4.0754, 0.0000], [2.0377, 2.0377, 7.9294]],
  "species": ["Zn", "Zn", "Bi", "Bi", "Sn"],
  "fractional_positions": [[0.7500, 0.2500, 0.5000], [0.2500, 0.7500, 0.5000], [0.3835, 0.3835, 0.2330], [0.6165, 0.6165, 0.7670], [0.0000, 0.0000, 0.0000]],
  "spacegroup": "I4/mmm (139)"
}



Quick one: most stable of them? version two



Version one
{
  "formula": "ZnSn3Bi",
  "functional": "PBE-GGA",
  "state": "optimized geometry",
  "lattice": [[5.9628, 0.0000, 0.0000], [0.0000, 5.9628, 0.0000], [0.0000, 0.0000, 5.9628]],
  "species": ["Zn", "Bi", "Sn", "Sn", "Sn"],
  "fractional_positions": [[0.5000, 0.5000, 0.5000], [0.0000, 0.0000, 0.0000], [0.0000, 0.5000, 0.0000], [0.0000, 0.0000, 0.5000], [0.5000, 0.0000, 0.0000]],
  "spacegroup": "Pm-3m (221)"
}



Version two
{
  "formula": "ZnSn3Bi",
  "functional": "PBE-GGA",
  "state": "optimized geometry",
  "lattice": [[5.2729, 0.0000, 0.0000], [0.0000, 5.2729, 0.0000], [0.0000, 0.0000, 5.2729]],
  "species": ["Zn", "Bi", "Sn", "Sn", "Sn"],
  "fractional_positions": [[0.0000, 0.0000, 0.0000], [0.5000, 0.5000, 0.5000], [0.0000, 0.5000, 0.0000], [0.0000, 0.0000, 0.5000], [0.5000, 0.0000, 0.0000]],
  "spacegroup": "Pm-3m (221)"
}



Quick one: most stable of them? version two